Material: Ba2HoBe2O6
Method: DFT, PBE
State: optimized geometry

abc: 5.7005 5.7005 6.6377
angles: 64.57 64.57 60.00
With the nearest neighbours (Å) after each atom.
Sites, in units of the cell vectors:
Ho1 0.0000 0.0000 0.0000  6 O 2.25
Ba1 0.7812 0.7812 0.6564  9 O 2.91-2.94
Ba2 0.2188 0.2188 0.3436  9 O 2.91-2.94
Be1 0.4187 0.4187 0.7440  3 O 1.55
Be2 0.5813 0.5813 0.2560  3 O 1.55
O1 0.7411 0.7411 0.2461  1 Be 1.55
O2 0.2718 0.7411 0.2461  1 Be 1.55
O3 0.2589 0.7282 0.7539  1 Be 1.55
O4 0.7282 0.2589 0.7539  1 Be 1.55
O5 0.7411 0.2718 0.2461  1 Be 1.55
O6 0.2589 0.2589 0.7539  1 Be 1.55

Values from the calculation:
N(E_F) in states/eV per atom: 0.7995
SG: R-3m, No. 166
Formation energy (no corrections) in meV/atom: -2698
Crystal system: trigonal

Material: Li2ZrHg3
Method: DFT, PBE
State: optimized geometry

abc: 3.3155 3.3155 10.4723
angles: 90.00 90.00 90.00
With the nearest neighbours (Å) after each atom.
Sites, in units of the cell vectors:
Hg1 0.0000 0.0000 0.0000  8 Li 2.86
Hg2 0.0000 0.0000 0.3096  4 Li 2.84, 4 Zr 3.08
Hg3 0.0000 0.0000 0.6904  4 Li 2.84, 4 Zr 3.08
Li1 0.5000 0.5000 0.8432  8 Hg 2.84-2.86
Li2 0.5000 0.5000 0.1568  8 Hg 2.84-2.86
Zr1 0.5000 0.5000 0.5000  8 Hg 3.08, 4 Zr 3.32

Values from the calculation:
N(E_F) in states/eV per atom: 0.6113
SG: P4/mmm, No. 123
Crystal system: tetragonal
ΔH_f (0 K) in eV per formula unit: -1.69